# 1
LaPm3Dy6: relaxed, GGA-PBE.

Output
The volume is 33.97 Å³ per atom. Its formation enthalpy at 0 K is 212 meV/atom. For the total energy, the calculation gives -4.467 eV/atom. The total magnetic moment comes out at 0.0 μB/cell.

Cell: 6.9340 9.9077 9.9077 Å, 93.52 90.00 90.00°
Fractional positions:
Dy 0.2478 0.9898 0.0102
Pm 0.2102 0.4005 0.5995
Dy 0.1988 0.7204 0.5111
Pm 0.9881 0.1732 0.2432
Dy 0.8088 0.9463 0.5251
La 0.0242 0.1910 0.8090
Pm 0.4881 0.8268 0.7568
Dy 0.6988 0.5111 0.7204
Pm 0.7102 0.5995 0.4005
Pm 0.4881 0.2432 0.1732
Dy 0.7478 0.0102 0.9898
Dy 0.3088 0.5251 0.9463
Pm 0.9881 0.7568 0.8268
Dy 0.5118 0.2113 0.7887
Dy 0.6988 0.2796 0.4889
Dy 0.8088 0.4749 0.0537
La 0.5242 0.8090 0.1910
Dy 0.1988 0.4889 0.2796
Dy 0.3088 0.0537 0.4749
Dy 0.0118 0.7887 0.2113



# 2
La3Pm12Dy: relaxed, GGA-PBE.

Output
The volume is 34.74 Å³ per atom. Its formation enthalpy at 0 K is 16 meV/atom. For the total energy, the calculation gives -4.758 eV/atom. The total magnetic moment comes out at 0.0 μB/cell.

Cell: 5.1803 5.1803 20.7114 Å, 90.00 90.00 90.00°
Fractional positions:
Dy 0.0000 0.0000 0.0000
Pm 0.0000 0.5000 0.8774
Pm 0.5000 0.5000 0.2479
Pm 0.5000 0.5000 0.0000
Pm 0.5000 0.0000 0.1226
Pm 0.5000 0.5000 0.5000
Pm 0.0000 0.5000 0.6256
La 0.0000 0.0000 0.2490
Pm 0.0000 0.5000 0.3744
Pm 0.5000 0.0000 0.6256
Pm 0.5000 0.0000 0.8774
La 0.0000 0.0000 0.7510
Pm 0.5000 0.5000 0.7521
Pm 0.5000 0.0000 0.3744
La 0.0000 0.0000 0.5000
Pm 0.0000 0.5000 0.1226



# 3
La5Pm4Dy2: relaxed, GGA-PBE.

Output
The volume is 35.22 Å³ per atom. Its formation enthalpy at 0 K is 75 meV/atom. For the total energy, the calculation gives -4.729 eV/atom. The total magnetic moment comes out at 0.0 μB/cell.

Cell: 3.5763 9.0894 11.9551 Å, 94.53 90.00 90.00°
Fractional positions:
Pm 0.5000 0.7178 0.5491
La 0.0000 0.5677 0.2923
Dy 0.0000 0.9432 0.3650
Pm 0.5000 0.1583 0.8895
La 0.0000 0.1944 0.1661
La 0.0000 0.5000 0.0000
La 0.0000 0.4323 0.7077
Pm 0.5000 0.2822 0.4509
Dy 0.0000 0.0568 0.6350
Pm 0.5000 0.8417 0.1105
La 0.0000 0.8056 0.8339



# 4
La3Pm4Dy5: relaxed, GGA-PBE.

Output
The volume is 34.54 Å³ per atom. Its formation enthalpy at 0 K is 224 meV/atom. For the total energy, the calculation gives -4.509 eV/atom. The total magnetic moment comes out at 0.0 μB/cell.

Cell: 6.0323 8.6646 9.8158 Å, 105.74 72.10 69.63°
Fractional positions:
La 0.4807 0.3113 0.7274
Dy 0.3756 0.0526 0.1962
Pm 0.8295 0.9645 0.3764
Pm 0.1404 0.7766 0.9426
Dy 0.2185 0.4539 0.1092
La 0.5193 0.6887 0.2726
Dy 0.5000 0.5000 0.5000
Pm 0.1705 0.0355 0.6236
La 0.0000 0.5000 0.5000
Dy 0.6244 0.9474 0.8038
Pm 0.8596 0.2234 0.0574
Dy 0.7815 0.5461 0.8908



# 5
La2Pm2Dy5: relaxed, GGA-PBE.

Output
The volume is 34.04 Å³ per atom. Its formation enthalpy at 0 K is 195 meV/atom. For the total energy, the calculation gives -4.512 eV/atom. The total magnetic moment comes out at 0.0 μB/cell.

Cell: 12.0301 6.7638 10.2140 Å, 109.34 126.08 90.00°
Fractional positions:
Dy 0.4084 0.5393 0.2835
Dy 0.3751 0.0393 0.2835
Dy 0.2049 0.6506 0.8925
Dy 0.6249 0.7557 0.7165
Dy 0.5916 0.2557 0.7165
La 0.7432 0.8495 0.5000
Dy 0.1876 0.1506 0.8925
La 0.2568 0.3495 0.5000
Pm 0.8766 0.4313 0.7483
Pm 0.6283 0.1829 0.2517
La 0.0000 0.0100 0.0000
Dy 0.7951 0.7581 0.1075
Dy 0.9905 0.1585 0.5000
Dy 0.8124 0.2581 0.1075
Dy 0.0095 0.6585 0.5000
Pm 0.1234 0.6829 0.2517
Pm 0.3717 0.9313 0.7483
La 0.5000 0.5100 0.0000



# 6
LaPm6Dy2: relaxed, GGA-PBE.

Output
The volume is 34.58 Å³ per atom. Its formation enthalpy at 0 K is 55 meV/atom. For the total energy, the calculation gives -4.683 eV/atom. The total magnetic moment comes out at 0.0 μB/cell.

Cell: 3.6400 3.6400 27.1211 Å, 90.00 90.00 120.00°
Fractional positions:
Pm 0.3333 0.6667 0.7776
Pm 0.3333 0.6667 0.2224
Pm 0.3333 0.6667 0.5657
La 0.3333 0.6667 0.0000
Dy 0.6667 0.3333 0.3309
Pm 0.6667 0.3333 0.8861
Pm 0.6667 0.3333 0.1139
Pm 0.3333 0.6667 0.4343
Dy 0.6667 0.3333 0.6691



# 7
La2Pm7Dy: relaxed, GGA-PBE.

Output
The volume is 35.08 Å³ per atom. Its formation enthalpy at 0 K is 144 meV/atom. For the total energy, the calculation gives -4.627 eV/atom. The total magnetic moment comes out at 0.0 μB/cell.

Cell: 3.5287 15.0727 15.0727 Å, 154.05 90.00 90.00°
Fractional positions:
La 0.5000 0.2946 0.7054
La 0.5000 0.7054 0.2946
Pm 0.5000 0.3419 0.1462
Pm 0.0000 0.8133 0.1867
Pm 0.5000 0.1462 0.3419
Pm 0.5000 0.6581 0.8538
Dy 0.0000 0.0000 0.0000
Pm 0.5000 0.5000 0.5000
Pm 0.5000 0.8538 0.6581
Pm 0.0000 0.1867 0.8133



# 8
LaPm3Dy5: relaxed, GGA-PBE.

Output
The volume is 33.20 Å³ per atom. Its formation enthalpy at 0 K is 243 meV/atom. For the total energy, the calculation gives -4.444 eV/atom. The total magnetic moment comes out at 0.0 μB/cell.

Cell: 8.7331 8.7331 9.9769 Å, 115.96 115.96 90.00°
Fractional positions:
Pm 0.1182 0.3818 0.0000
Dy 0.6575 0.1575 0.7277
Dy 0.0701 0.5701 0.7277
Dy 0.9299 0.4299 0.2723
Dy 0.5000 0.5000 0.0000
Pm 0.8818 0.6182 0.0000
La 0.7500 0.2500 0.5000
Pm 0.3818 0.8818 0.0000
Dy 0.4299 0.3425 0.2723
Dy 0.3425 0.8425 0.2723
Dy 0.1575 0.0701 0.7277
Dy 0.0000 0.0000 0.0000
Pm 0.7500 0.7500 0.5000
Pm 0.2500 0.2500 0.5000
Dy 0.5701 0.6575 0.7277
Dy 0.8425 0.9299 0.2723
Pm 0.6182 0.1182 0.0000
La 0.2500 0.7500 0.5000



# 9
LaPm3Dy2: relaxed, GGA-PBE.

Output
The volume is 33.88 Å³ per atom. Its formation enthalpy at 0 K is 17 meV/atom. For the total energy, the calculation gives -4.714 eV/atom. The total magnetic moment comes out at 0.0 μB/cell.

Cell: 6.2926 6.2830 12.5863 Å, 80.47 109.30 120.05°
Fractional positions:
Pm 0.3335 0.6686 0.4997
Pm 0.8331 0.6661 0.2500
Dy 0.5002 0.0004 0.7500
Dy 0.0000 0.0000 0.0000
La 0.8347 0.6693 0.7500
Pm 0.1669 0.3339 0.7500
Dy 0.0000 0.0000 0.5000
La 0.1653 0.3307 0.2500
Dy 0.4998 0.9996 0.2500
Pm 0.3351 0.6686 0.0003
Pm 0.6665 0.3314 0.5003
Pm 0.6649 0.3314 0.9997



# 10
La2Pm3Dy5: relaxed, GGA-PBE.

Output
The volume is 33.76 Å³ per atom. Its formation enthalpy at 0 K is 177 meV/atom. For the total energy, the calculation gives -4.535 eV/atom. The total magnetic moment comes out at 0.0 μB/cell.

Cell: 9.2548 9.2594 11.2407 Å, 123.12 123.11 70.92°
Fractional positions:
La 0.2307 0.9762 0.2529
Pm 0.7280 0.4832 0.2538
Dy 0.3608 0.1172 0.7349
Pm 0.7732 0.0232 0.0465
Pm 0.0258 0.7706 0.2538
La 0.4778 0.7234 0.7471
Dy 0.4730 0.7230 0.4459
Pm 0.2268 0.9768 0.9535
Pm 0.2720 0.5168 0.7462
La 0.5222 0.2766 0.2529
Dy 0.5270 0.2770 0.5541
Dy 0.0284 0.7784 0.5567
Pm 0.9742 0.2294 0.7462
La 0.7693 0.0238 0.7471
Dy 0.8740 0.6177 0.7349
Dy 0.9716 0.2216 0.4433
Dy 0.1260 0.3823 0.2651
Dy 0.7260 0.4760 0.9521
Dy 0.2740 0.5240 0.0479
Dy 0.6392 0.8828 0.2651



# 11
LaPm4Dy: relaxed, GGA-PBE.

Output
The volume is 34.48 Å³ per atom. Its formation enthalpy at 0 K is 20 meV/atom. For the total energy, the calculation gives -4.735 eV/atom. The total magnetic moment comes out at 0.0 μB/cell.

Cell: 3.6644 5.1314 12.1383 Å, 114.97 90.00 90.00°
Fractional positions:
La 0.0000 0.0000 0.0000
Pm 0.0000 0.3353 0.3361
Pm 0.5000 0.3289 0.8288
Pm 0.0000 0.6647 0.6639
Dy 0.5000 0.0000 0.5000
Pm 0.5000 0.6711 0.1712



# 12
LaPm2Dy: relaxed, GGA-PBE.

Output
The volume is 34.35 Å³ per atom. Its formation enthalpy at 0 K is 19 meV/atom. For the total energy, the calculation gives -4.739 eV/atom. The total magnetic moment comes out at 0.0 μB/cell.

Cell: 3.6461 3.6461 12.1199 Å, 81.35 81.35 60.00°
Fractional positions:
Pm 0.2479 0.2479 0.2563
Dy 0.5000 0.5000 0.5000
Pm 0.7521 0.7521 0.7437
La 0.0000 0.0000 0.0000



# 13
La2Pm4Dy: relaxed, GGA-PBE.

Output
The volume is 35.60 Å³ per atom. Its formation enthalpy at 0 K is 212 meV/atom. For the total energy, the calculation gives -4.568 eV/atom. The total magnetic moment comes out at 0.0 μB/cell.

Cell: 6.8917 9.1826 9.1826 Å, 78.94 67.96 67.96°
Fractional positions:
La 0.2773 0.9727 0.4727
Pm 0.2328 0.2405 0.7405
Pm 0.7862 0.2405 0.7405
Dy 0.0000 0.5000 0.0000
Pm 0.1417 0.3671 0.3494
La 0.7227 0.0273 0.5273
Pm 0.2138 0.7595 0.2595
La 0.5000 0.5000 0.5000
Pm 0.1417 0.8494 0.8671
Pm 0.8583 0.1506 0.1329
La 0.5000 0.0000 0.0000
Pm 0.8583 0.6329 0.6506
Pm 0.7672 0.7595 0.2595
Dy 0.5000 0.5000 0.0000



# 14
La2Pm7Dy3: relaxed, GGA-PBE.

Output
The volume is 34.56 Å³ per atom. Its formation enthalpy at 0 K is 115 meV/atom. For the total energy, the calculation gives -4.628 eV/atom. The total magnetic moment comes out at 0.0 μB/cell.

Cell: 3.6665 5.8475 19.5619 Å, 98.60 90.00 90.00°
Fractional positions:
Pm 0.0000 0.5894 0.1788
Pm 0.0000 0.0000 0.0000
Pm 0.0000 0.7687 0.5374
La 0.0000 0.8515 0.7030
Pm 0.0000 0.2313 0.4626
Pm 0.0000 0.4106 0.8212
Pm 0.5000 0.0712 0.1424
La 0.0000 0.1485 0.2970
Dy 0.5000 0.5000 0.0000
Pm 0.5000 0.9288 0.8576
Dy 0.5000 0.3138 0.6276
Dy 0.5000 0.6862 0.3724



# 15
LaPm3Dy3: relaxed, GGA-PBE.

Output
The volume is 33.88 Å³ per atom. Its formation enthalpy at 0 K is 26 meV/atom. For the total energy, the calculation gives -4.686 eV/atom. The total magnetic moment comes out at 0.0 μB/cell.

Cell: 5.8126 9.7074 9.7074 Å, 120.00 90.00 90.00°
Fractional positions:
La 0.2500 0.6667 0.3333
Dy 0.7500 0.1869 0.2325
La 0.7500 0.3333 0.6667
Pm 0.2500 0.5251 0.9047
Dy 0.7500 0.7675 0.9544
Pm 0.2500 0.0953 0.6203
Pm 0.7500 0.6203 0.5251
Dy 0.7500 0.0456 0.8131
Pm 0.2500 0.3797 0.4749
Pm 0.7500 0.9047 0.3797
Dy 0.2500 0.8131 0.7675
Dy 0.2500 0.9544 0.1869
Dy 0.2500 0.2325 0.0456
Pm 0.7500 0.4749 0.0953



# 16
La2Pm2Dy3: relaxed, GGA-PBE.

Output
The volume is 34.48 Å³ per atom. Its formation enthalpy at 0 K is 176 meV/atom. For the total energy, the calculation gives -4.562 eV/atom. The total magnetic moment comes out at 0.0 μB/cell.

Cell: 6.4084 6.2126 13.0836 Å, 90.00 90.00 112.06°
Fractional positions:
Dy 0.5000 0.0000 0.0000
La 0.1281 0.4078 0.6787
Pm 0.3681 0.1020 0.2911
Dy 0.6192 0.3330 0.5505
Pm 0.6319 0.8980 0.7089
Dy 0.3808 0.6670 0.4495
Dy 0.1192 0.3330 0.9495
Dy 0.0000 0.0000 0.5000
La 0.8719 0.5922 0.3213
Pm 0.8681 0.1020 0.2089
La 0.3719 0.5922 0.1787
Dy 0.8808 0.6670 0.0505
La 0.6281 0.4078 0.8213
Pm 0.1319 0.8980 0.7911



# 17
La6Pm2Dy: relaxed, GGA-PBE.

Output
The volume is 35.70 Å³ per atom. Its formation enthalpy at 0 K is 116 meV/atom. For the total energy, the calculation gives -4.736 eV/atom. The total magnetic moment comes out at 0.0 μB/cell.

Cell: 10.2425 10.2425 3.7038 Å, 90.00 90.00 124.21°
Fractional positions:
Pm 0.1728 0.8272 0.5000
La 0.8361 0.5074 0.0000
Dy 0.0000 0.0000 0.0000
La 0.6793 0.6793 0.5000
La 0.1639 0.4926 0.0000
La 0.5074 0.8361 0.0000
La 0.4926 0.1639 0.0000
La 0.3207 0.3207 0.5000
Pm 0.8272 0.1728 0.5000



# 18
La3PmDy2: relaxed, GGA-PBE.

Output
The volume is 34.98 Å³ per atom. Its formation enthalpy at 0 K is 297 meV/atom. For the total energy, the calculation gives -4.492 eV/atom. The total magnetic moment comes out at 0.0 μB/cell.

Cell: 3.5053 6.0295 10.5237 Å, 106.65 99.59 90.00°
Fractional positions:
Dy 0.3630 0.3630 0.7260
La 0.8109 0.8109 0.6217
Dy 0.6370 0.6370 0.2740
La 0.0000 0.5000 0.0000
Pm 0.0000 0.0000 0.0000
La 0.1891 0.1891 0.3783



# 19
La6PmDy: relaxed, GGA-PBE.

Output
The volume is 35.57 Å³ per atom. Its formation enthalpy at 0 K is 7 meV/atom. For the total energy, the calculation gives -4.857 eV/atom. The total magnetic moment comes out at 0.0 μB/cell.

Cell: 5.2195 5.2195 10.4449 Å, 90.00 90.00 90.00°
Fractional positions:
La 0.5000 0.0000 0.2512
La 0.0000 0.5000 0.2512
Pm 0.0000 0.0000 0.0000
Dy 0.0000 0.0000 0.5000
La 0.5000 0.5000 0.0000
La 0.5000 0.5000 0.5000
La 0.5000 0.0000 0.7488
La 0.0000 0.5000 0.7488



# 20
La5Pm3Dy2: relaxed, GGA-PBE.

Output
The volume is 35.66 Å³ per atom. Its formation enthalpy at 0 K is 149 meV/atom. For the total energy, the calculation gives -4.660 eV/atom. The total magnetic moment comes out at 0.0 μB/cell.

Cell: 10.2426 10.2620 9.2951 Å, 108.60 108.51 115.02°
Fractional positions:
Dy 0.0262 0.9662 0.2457
Dy 0.2805 0.7205 0.7543
Dy 0.7195 0.2795 0.2457
La 0.5268 0.7768 0.5536
La 0.1262 0.3656 0.2447
La 0.9808 0.7308 0.4617
La 0.7727 0.5227 0.0454
Pm 0.2190 0.7767 0.2500
La 0.3815 0.1209 0.7553
La 0.2273 0.4773 0.9546
Pm 0.5311 0.4734 0.2500
La 0.6185 0.8791 0.2447
Pm 0.7810 0.2233 0.7500
La 0.0192 0.2692 0.5383
La 0.4732 0.2232 0.4464
Dy 0.9738 0.0338 0.7543
Pm 0.2685 0.0185 0.0371
Pm 0.4689 0.5266 0.7500
La 0.8738 0.6344 0.7553
Pm 0.7315 0.9815 0.9629